YFeP2O | PBE+U | optimized geometry

Computed properties:
* magnetic moment: 2.2 μB per formula unit
* energy above the most stable polymorph in this dataset: 315.5 kJ/mol of formula units
* calculated volume: 24.5 A^3/atom
* D(E_F): 0.77 states/eV/atom
* DFT total energy: -5.4255 eV per atom

Cell lengths 5.4026, 5.4026, 4.1907 Å; angles 90.00, 90.00, 90.00 degrees
Closest atoms and distances in Å follow each position.
Element x y z (fractional)
P1 0.0000 0.5000 0.0000  2 Y 2.70
Fe1 0.5000 0.5000 0.5000  8 P 3.42, 4 O 3.82
P2 0.5000 0.0000 0.0000  2 Y 2.70
Y1 0.0000 0.0000 0.0000  2 O 2.10
O1 0.0000 0.0000 0.5000  2 Y 2.10